# PBE with a Hubbard U Tb2PaMoO8, optimized geometry
# symmetry	Cmmm
# VASP energy	-8.485	eV per atom
data_Tb2PaMoO8
_cell_length_a 5.049
_cell_length_b 5.050
_cell_length_c 6.868
_cell_angle_alpha 90.00
_cell_angle_beta 90.00
_cell_angle_gamma 91.49
_space_group_name_H-M_alt 'P 1'
_space_group_IT_number 1
_space_group_name_Hall 'P 1'
loop_
_atom_site_label
_atom_site_type_symbol
_atom_site_fract_x
_atom_site_fract_y
_atom_site_fract_z
Tb1 Tb 0.500 0.500 0.756
Tb2 Tb 0.500 0.500 0.244
Pa1 Pa 0.000 0.000 0.500
Mo1 Mo 0.000 0.000 0.000
O1 O 0.182 0.817 0.236
O2 O 0.727 0.727 0.000
O3 O 0.818 0.183 0.236
O4 O 0.818 0.183 0.764
O5 O 0.273 0.273 0.000
O6 O 0.182 0.817 0.764
O7 O 0.699 0.699 0.500
O8 O 0.301 0.301 0.500